The following is a PBE calculation of a geometry-optimized Ce2SiAu structure, from the Alexandria database.

uncorrected energy: -5.7184 eV per atom
formation energy (no corrections): -0.576 eV/atom
ΔE to the lowest computed polymorph: 0.0041 eV/atom

a b c (Å): 3.810 3.810 6.434
angles (deg): 90.00 90.00 90.00
Site moments in Bohr magnetons follow the coordinates.
Fractional coordinates of all 4 atoms:
Ce1 0.000 0.000 0.783  0.67
Ce2 0.000 0.000 0.217  0.67
Au1 0.500 0.500 0.500  0.02
Si1 0.500 0.500 0.000  -0.02

=====

The following is a PBE calculation of a geometry-optimized Pm2NdEr3 structure, from the Alexandria database.

uncorrected energy: -4.5912 eV per atom
ΔE to the lowest computed polymorph: 0.0000 eV/atom

a b c (Å): 6.663 6.663 8.993
angles (deg): 97.82 97.82 95.28
Fractional coordinates of all 12 atoms:
Er1 0.667 0.835 0.001
Pm1 0.130 0.624 0.874
Nd1 0.086 0.914 0.250
Er2 0.419 0.581 0.250
Pm2 0.624 0.130 0.374
Er3 0.581 0.419 0.750
Pm3 0.870 0.376 0.126
Er4 0.165 0.333 0.499
Nd2 0.914 0.086 0.750
Pm4 0.376 0.870 0.626
Er5 0.835 0.667 0.501
Er6 0.333 0.165 0.999

=====

The following is a PBE calculation of a geometry-optimized ThRh2Au3 structure, from the Alexandria database.

uncorrected energy: -5.6909 eV per atom
ΔE to the lowest computed polymorph: 0.0000 eV/atom

a b c (Å): 6.306 6.306 6.987
angles (deg): 76.31 76.31 110.23
Fractional coordinates of all 12 atoms:
Th1 0.081 0.919 0.750
Th2 0.919 0.081 0.250
Au1 0.205 0.440 0.448
Au2 0.613 0.387 0.250
Rh1 0.917 0.290 0.887
Au3 0.560 0.795 0.052
Au4 0.440 0.205 0.948
Au5 0.387 0.613 0.750
Au6 0.795 0.560 0.552
Rh2 0.710 0.083 0.613
Rh3 0.083 0.710 0.113
Rh4 0.290 0.917 0.387

=====

The following is a PBE calculation of a geometry-optimized AcMgTe2O8 structure, from the Alexandria database.

uncorrected energy: -5.9510 eV per atom
formation energy (no corrections): -1.647 eV/atom

a b c (Å): 5.870 5.870 7.105
angles (deg): 90.00 90.00 120.00
Fractional coordinates of all 12 atoms:
O1 0.301 0.150 0.200
Mg1 0.000 0.000 0.000
O2 0.150 0.301 0.800
O3 0.333 0.667 0.488
O4 0.667 0.333 0.512
O5 0.850 0.699 0.200
Te1 0.667 0.333 0.252
Te2 0.333 0.667 0.748
O6 0.850 0.150 0.200
O7 0.699 0.850 0.800
O8 0.150 0.850 0.800
Ac1 0.000 0.000 0.500

=====

The following is a PBE calculation of a geometry-optimized Tb2HoHgC structure, from the Alexandria database.

uncorrected energy: -5.0320 eV per atom

a b c (Å): 4.841 4.946 4.946
angles (deg): 90.00 90.00 90.00
Fractional coordinates of all 5 atoms:
C1 0.000 0.000 0.000
Tb1 0.000 0.000 0.500
Ho1 0.500 0.000 0.000
Hg1 0.500 0.500 0.500
Tb2 0.000 0.500 0.000

=====

The following is a PBE calculation of a geometry-optimized Mg2ZnTe structure, from the Alexandria database.

uncorrected energy: -1.9818 eV per atom
formation energy (no corrections): -0.081 eV/atom
ΔE to the lowest computed polymorph: 0.1635 eV/atom

a b c (Å): 5.116 5.116 5.116
angles (deg): 60.00 60.00 60.00
Fractional coordinates of all 4 atoms:
Mg1 0.250 0.250 0.250
Te1 0.500 0.500 0.500
Zn1 0.000 0.000 0.000
Mg2 0.750 0.750 0.750

=====

The following is a PBE calculation of a geometry-optimized TaF5 structure, from the Alexandria database.

uncorrected energy: -6.6913 eV per atom
formation energy (no corrections): -3.156 eV/atom
ΔE to the lowest computed polymorph: 0.0667 eV/atom

a b c (Å): 5.523 5.527 7.964
angles (deg): 94.16 108.40 115.92
Fractional coordinates of all 12 atoms:
F1 0.169 0.359 0.969
Ta1 0.515 0.990 0.527
F2 0.345 0.091 0.257
F3 0.180 0.905 0.866
F4 0.521 0.318 0.618
F5 0.872 0.210 0.507
F6 0.665 0.909 0.757
F7 0.798 0.633 0.007
F8 0.796 0.093 0.117
Ta2 0.036 0.011 0.027
F9 0.109 0.798 0.469
F10 0.462 0.686 0.366

=====

The following is a PBE calculation of a geometry-optimized BaLi3In structure, from the Alexandria database.

uncorrected energy: -1.2002 eV per atom
ΔE to the lowest computed polymorph: 1.0088 eV/atom

a b c (Å): 5.856 5.856 5.856
angles (deg): 90.00 90.00 90.00
Fractional coordinates of all 5 atoms:
Li1 0.000 0.000 0.500
Li2 0.000 0.500 0.000
Li3 0.500 0.000 0.000
In1 0.500 0.500 0.500
Ba1 0.000 0.000 0.000